Record 1
VASP calculation (PBE-GGA) on a relaxed PrZn7Ga5 crystal.

CIF file:
```
data_PrZn7Ga5
_space_group_name_H-M_alt 'I m m 2'
_space_group_IT_number 44
_space_group_name_Hall 'I 2 -2'
_cell_length_a 5.774
_cell_length_b 8.957
_cell_length_c 8.868
_cell_angle_alpha 90.00
_cell_angle_beta 90.00
_cell_angle_gamma 90.00
loop_
_atom_site_label
_atom_site_type_symbol
_atom_site_fract_x
_atom_site_fract_y
_atom_site_fract_z
Pr1 Pr 0.000 0.000 0.000
Zn1 Zn 0.000 0.000 0.356
Zn2 Zn 0.000 0.000 0.641
Zn3 Zn 0.000 0.275 0.498
Zn4 Zn 0.000 0.358 0.999
Zn5 Zn 0.000 0.500 0.284
Ga1 Ga 0.000 0.500 0.715
Ga2 Ga 0.248 0.254 0.248
```

## Properties
Formation enthalpy at 0 K (eV per atom): -0.12
E (eV/cell): -60.87
V (Å³ per cell): 458.6

---

Record 2
VASP calculation (PBE-GGA) on a relaxed Tl3SeS crystal.

CIF file:
```
data_Tl3SeS
_space_group_name_H-M_alt 'P m -3 m'
_space_group_IT_number 221
_space_group_name_Hall '-P 4 2 3'
_cell_length_a 5.605
_cell_length_b 5.605
_cell_length_c 5.605
_cell_angle_alpha 90.00
_cell_angle_beta 90.00
_cell_angle_gamma 90.00
loop_
_atom_site_label
_atom_site_type_symbol
_atom_site_fract_x
_atom_site_fract_y
_atom_site_fract_z
Tl1 Tl 0.000 0.000 0.500
Se1 Se 0.500 0.500 0.500
S1 S 0.000 0.000 0.000
```

## Properties
E (eV/cell): -14.43
Distance to the lowest polymorph of the same formula (meV per atom): 303
Uncorrected formation energy (eV per atom): 0.0555
V (Å³ per cell): 176.1

---

Record 3
VASP calculation (PBE-GGA) on a relaxed K2LiSi3Au12 crystal.

CIF file:
```
data_K2LiSi3Au12
_space_group_name_H-M_alt 'R -3 m'
_space_group_IT_number 166
_space_group_name_Hall '-R 3 2"'
_cell_length_a 8.9262
_cell_length_b 8.9262
_cell_length_c 19.2671
_cell_angle_alpha 90.00
_cell_angle_beta 90.00
_cell_angle_gamma 120.00
loop_
_atom_site_label
_atom_site_type_symbol
_atom_site_fract_x
_atom_site_fract_y
_atom_site_fract_z
K1 K 0.0000 0.0000 0.1132
Li1 Li 0.0000 0.0000 0.5000
Si1 Si 0.0000 0.5000 0.0000
Au1 Au 0.0277 0.5139 0.1249
Au2 Au 0.0406 0.5203 0.3425
```

## Properties
E (eV/cell): -180.52
Uncorrected formation energy (eV per atom): -0.0259
V (Å³ per cell): 1329.5

---

Record 4
VASP calculation (PBE-GGA) on a relaxed GdGaSn crystal.

CIF file:
```
data_GdGaSn
_space_group_name_H-M_alt 'I 4 m m'
_space_group_IT_number 107
_space_group_name_Hall 'I 4 -2'
_cell_length_a 3.638
_cell_length_b 3.638
_cell_length_c 11.009
_cell_angle_alpha 90.00
_cell_angle_beta 90.00
_cell_angle_gamma 90.00
loop_
_atom_site_label
_atom_site_type_symbol
_atom_site_fract_x
_atom_site_fract_y
_atom_site_fract_z
Gd1 Gd 0.000 0.000 0.000
Ga1 Ga 0.000 0.000 0.676
Sn1 Sn 0.000 0.000 0.305
```

## Properties
Formation enthalpy at 0 K (eV per atom): -0.42
E (eV/cell): -44.75
Distance to the lowest polymorph of the same formula (meV per atom): 155
V (Å³ per cell): 145.7

---

Record 5
VASP calculation (PBE-GGA) on a relaxed CaTbPrSc crystal.

CIF file:
```
data_CaTbPrSc
_space_group_name_H-M_alt 'F -4 3 m'
_space_group_IT_number 216
_space_group_name_Hall 'F -4 2 3'
_cell_length_a 8.040
_cell_length_b 8.040
_cell_length_c 8.040
_cell_angle_alpha 90.00
_cell_angle_beta 90.00
_cell_angle_gamma 90.00
loop_
_atom_site_label
_atom_site_type_symbol
_atom_site_fract_x
_atom_site_fract_y
_atom_site_fract_z
Ca1 Ca 0.000 0.000 0.000
Tb1 Tb 0.250 0.250 0.750
Pr1 Pr 0.250 0.250 0.250
Sc1 Sc 0.000 0.000 0.500
```

## Properties
Formation enthalpy at 0 K (eV per atom): 0.14
E (eV/cell): -68.68
V (Å³ per cell): 519.8

---

Record 6
VASP calculation (PBE-GGA) on a relaxed Ta2AsAu crystal.

CIF file:
```
data_Ta2AsAu
_space_group_name_H-M_alt 'P 1 2/m 1'
_space_group_IT_number 10
_space_group_name_Hall '-P 2y'
_cell_length_a 2.941
_cell_length_b 4.103
_cell_length_c 5.948
_cell_angle_alpha 90.00
_cell_angle_beta 102.92
_cell_angle_gamma 90.00
loop_
_atom_site_label
_atom_site_type_symbol
_atom_site_fract_x
_atom_site_fract_y
_atom_site_fract_z
Ta1 Ta 0.088 0.000 0.258
As1 As 0.500 0.500 0.500
Au1 Au 0.500 0.500 0.000
```

## Properties
Formation enthalpy at 0 K (eV per atom): -0.07
E (eV/cell): -31.90
Distance to the lowest polymorph of the same formula (meV per atom): 20
V (Å³ per cell): 70.0

---

Record 7
VASP calculation (PBE-GGA) on a relaxed InGa2Pb3 crystal.

CIF file:
```
data_InGa2Pb3
_space_group_name_H-M_alt 'P 1 21/c 1'
_space_group_IT_number 14
_space_group_name_Hall '-P 2ybc'
_cell_length_a 8.933
_cell_length_b 6.721
_cell_length_c 10.861
_cell_angle_alpha 90.00
_cell_angle_beta 90.01
_cell_angle_gamma 90.00
loop_
_atom_site_label
_atom_site_type_symbol
_atom_site_fract_x
_atom_site_fract_y
_atom_site_fract_z
In1 In 0.108 0.193 0.382
Ga1 Ga 0.071 0.740 0.381
Ga2 Ga 0.434 0.148 0.893
Pb1 Pb 0.225 0.514 0.607
Pb2 Pb 0.231 0.001 0.667
Pb3 Pb 0.411 0.649 0.880
```

## Properties
Formation enthalpy at 0 K (eV per atom): 0.07
E (eV/cell): -77.95
V (Å³ per cell): 652.0

---

Record 8
VASP calculation (PBE-GGA) on a relaxed P2HRhO crystal.

CIF file:
```
data_P2HRhO
_space_group_name_H-M_alt 'P 4/m m m'
_space_group_IT_number 123
_space_group_name_Hall '-P 4 2'
_cell_length_a 4.750
_cell_length_b 4.750
_cell_length_c 3.693
_cell_angle_alpha 90.00
_cell_angle_beta 90.00
_cell_angle_gamma 90.00
loop_
_atom_site_label
_atom_site_type_symbol
_atom_site_fract_x
_atom_site_fract_y
_atom_site_fract_z
P1 P 0.000 0.500 0.000
H1 H 0.000 0.000 0.500
Rh1 Rh 0.500 0.500 0.000
O1 O 0.500 0.500 0.500
```

## Properties
E (eV/cell): -22.11
Distance to the lowest polymorph of the same formula (meV per atom): 322
V (Å³ per cell): 83.3

---

| no. | calculated density (g/cm³) |
| --- | --- |
| 1 | 6.86 |
| 2 | 6.83 |
| 3 | 9.49 |
| 4 | 7.88 |
| 5 | 4.92 |
| 6 | 15.04 |
| 7 | 8.92 |
| 8 | 3.63 |